# AcZnClO2, relaxed, DFT PBE
data_AcZnClO2
_cell_length_a 4.116
_cell_length_b 11.525
_cell_length_c 7.326
_cell_angle_alpha 90.00
_cell_angle_beta 90.00
_cell_angle_gamma 90.00
_symmetry_space_group_name_H-M 'C m c m'
_symmetry_Int_Tables_number 63
_symmetry_space_group_name_Hall '-C 2c 2'
loop_
_atom_site_label
_atom_site_fract_x
_atom_site_fract_y
_atom_site_fract_z
Ac1 0.000 0.222 0.250
Zn1 0.000 0.500 0.000
Cl1 0.000 0.050 0.750
O1 0.000 0.342 0.548
# D(E_F): 0.0 states/eV/cell
# E_form (uncorrected): -2.353 eV/atom
# volume: 17.38 Å³/atom